The following is a PBE-GGA calculation of a relaxed structure of Li2MnTc, from Alexandria.

Calculated values
* space-group type: No. 123
* DFT total energy: -21.05 eV per cell
* density: 5.16 g/cm3
* ΔH_f (0 K): 0.58 eV per atom

Structure (POSCAR):
```
Li2MnTc
1.0
4.603 0.000 0.000
0.000 4.603 0.000
0.000 0.000 2.533
Tc Mn Li
1 1 2
Direct
0.000 0.500 0.500
0.500 0.000 0.500
0.500 0.500 0.000
0.000 0.000 0.000
```



The following is a PBE-GGA calculation of a relaxed structure of Cs2TlGaCl6, from Alexandria.

Calculated values
* space-group type: No. 164
* DFT total energy: -32.77 eV per cell
* density: 3.27 g/cm3
* formation energy (no corrections): -1.46 eV/atom

Structure (POSCAR):
```
Cs2TlGaCl6
1.0
-3.418 6.432 2.919
-6.175 -1.473 -3.985
0.733 -2.756 6.931
Cl Ga Cs Tl
6 1 2 1
Direct
0.179 0.848 0.696
0.179 0.848 0.152
0.179 0.304 0.152
0.821 0.152 0.304
0.821 0.152 0.848
0.821 0.696 0.848
0.000 0.000 0.000
0.157 0.333 0.667
0.843 0.667 0.333
0.500 0.000 0.000
```



The following is a PBE-GGA calculation of a relaxed structure of Rb2BPCl6, from Alexandria.

Calculated values
* space-group type: No. 139
* DFT total energy: -32.34 eV per cell
* density: 2.89 g/cm3
* formation energy (no corrections): -0.72 eV/atom

Structure (POSCAR):
```
Rb2BPCl6
1.0
-5.283 -3.592 2.953
4.313 -5.457 1.078
0.735 -2.688 6.433
B Cl Rb P
1 6 2 1
Direct
0.500 0.500 0.000
0.751 0.751 0.499
0.754 0.246 0.000
0.249 0.249 0.501
0.754 0.754 0.000
0.246 0.754 0.000
0.246 0.246 0.000
0.750 0.250 0.500
0.250 0.750 0.500
0.000 0.000 0.000
```



The following is a PBE-GGA calculation of a relaxed structure of InAuS2, from Alexandria.

Calculated values
* space-group type: No. 156
* DFT total energy: -15.21 eV per cell
* density: 7.09 g/cm3
* formation energy (no corrections): -0.23 eV/atom

Structure (POSCAR):
```
InAuS2
1.0
3.330 -1.923 0.000
0.000 3.845 0.000
0.000 0.000 6.875
S In Au
2 1 1
Direct
0.333 0.667 0.791
0.667 0.333 0.224
0.000 0.000 0.990
0.333 0.667 0.450
```